# PBE-GGA NaAg3F, optimized geometry
data_NaAg3F
_cell_length_a 5.066
_cell_length_b 5.066
_cell_length_c 5.066
_cell_angle_alpha 90.00
_cell_angle_beta 90.00
_cell_angle_gamma 90.00
_symmetry_space_group_name_H-M 'P m -3 m'
_symmetry_Int_Tables_number 221
_symmetry_space_group_name_Hall '-P 4 2 3'
loop_
_atom_site_label
_atom_site_type_symbol
_atom_site_fract_x
_atom_site_fract_y
_atom_site_fract_z
Na1 Na 0.000 0.000 0.000
Ag1 Ag 0.000 0.000 0.500
F1 F 0.500 0.500 0.500
# Mass density   4.67 g/cm3
# Energy relative to the elements, uncorrected   52.6 kJ/mol of atoms
# Excess energy over the best structure of this formula in the dataset   0.669 eV/atom



# PBE-GGA CaZn3, optimized geometry
data_CaZn3
_cell_length_a 6.222
_cell_length_b 6.222
_cell_length_c 6.222
_cell_angle_alpha 90.00
_cell_angle_beta 90.00
_cell_angle_gamma 90.00
_symmetry_space_group_name_H-M 'P m -3 m'
_symmetry_Int_Tables_number 221
_symmetry_space_group_name_Hall '-P 4 2 3'
loop_
_atom_site_label
_atom_site_type_symbol
_atom_site_fract_x
_atom_site_fract_y
_atom_site_fract_z
Ca1 Ca 0.000 0.000 0.000
Zn1 Zn 0.000 0.000 0.500
# Energy of formation from the pure elements   0.787 eV per atom
# Mass density   1.63 g/cm3



# PBE-GGA SmH6Pd3, optimized geometry
data_SmH6Pd3
_cell_length_a 4.966
_cell_length_b 4.969
_cell_length_c 5.316
_cell_angle_alpha 90.25
_cell_angle_beta 117.64
_cell_angle_gamma 119.86
_symmetry_space_group_name_H-M 'P 1'
_symmetry_Int_Tables_number 1
loop_
_symmetry_equiv_pos_as_xyz
'x,y,z'
loop_
_atom_site_label
_atom_site_type_symbol
_atom_site_fract_x
_atom_site_fract_y
_atom_site_fract_z
Sm1 Sm 0.000 0.000 0.000
H1 H 0.012 0.161 0.534
H2 H 0.034 0.499 0.056
H3 H 0.372 0.850 0.536
H4 H 0.521 0.022 0.059
H5 H 0.557 0.536 0.056
H6 H 0.684 0.524 0.535
Pd1 Pd 0.466 0.234 0.699
Pd2 Pd 0.535 0.768 0.304
Pd3 Pd 0.898 0.449 0.349
# Mass density   8.23 g/cm3
# Total DFT energy (no corrections)   -43.66 eV/f.u.



# PBE-GGA Al2CdRh, optimized geometry
data_Al2CdRh
_cell_length_a 2.9664
_cell_length_b 2.9664
_cell_length_c 26.6951
_cell_angle_alpha 90.00
_cell_angle_beta 90.00
_cell_angle_gamma 120.00
_symmetry_space_group_name_H-M 'R 3 m'
_symmetry_Int_Tables_number 160
_symmetry_space_group_name_Hall 'R 3 -2"'
loop_
_atom_site_label
_atom_site_type_symbol
_atom_site_fract_x
_atom_site_fract_y
_atom_site_fract_z
Al1 Al 0.0000 0.0000 0.0000
Al2 Al 0.0000 0.0000 0.2488
Cd1 Cd 0.0000 0.0000 0.7613
Rh1 Rh 0.0000 0.0000 0.5149
# Energy of formation from the pure elements   -0.222 eV per atom
# Mass density   6.59 g/cm3



# PBE-GGA Tc3PtF, optimized geometry
data_Tc3PtF
_cell_length_a 5.000
_cell_length_b 5.000
_cell_length_c 5.000
_cell_angle_alpha 90.00
_cell_angle_beta 90.00
_cell_angle_gamma 90.00
_symmetry_space_group_name_H-M 'P m -3 m'
_symmetry_Int_Tables_number 221
_symmetry_space_group_name_Hall '-P 4 2 3'
loop_
_atom_site_label
_atom_site_type_symbol
_atom_site_fract_x
_atom_site_fract_y
_atom_site_fract_z
Tc1 Tc 0.000 0.000 0.500
Pt1 Pt 0.000 0.000 0.000
F1 F 0.500 0.500 0.500
# Mass density   6.75 g/cm3
# Energy relative to the elements, uncorrected   178.8 kJ/mol of atoms
# Excess energy over the best structure of this formula in the dataset   1.150 eV/atom



# PBE-GGA ErTc4B4, optimized geometry
data_ErTc4B4
_cell_length_a 7.341
_cell_length_b 7.341
_cell_length_c 4.260
_cell_angle_alpha 90.00
_cell_angle_beta 90.00
_cell_angle_gamma 90.00
_symmetry_space_group_name_H-M 'P 42/n'
_symmetry_Int_Tables_number 86
loop_
_symmetry_equiv_pos_as_xyz
'x,y,z'
'-x,-y,-z'
'-y,x+1/2,z+1/2'
'y,-x+1/2,-z+1/2'
'-x+1/2,-y+1/2,z'
'x+1/2,y+1/2,-z'
'y+1/2,-x,z+1/2'
'-y+1/2,x,-z+1/2'
loop_
_atom_site_label
_atom_site_type_symbol
_atom_site_fract_x
_atom_site_fract_y
_atom_site_fract_z
Er1 Er 0.250 0.250 0.250
Tc1 Tc 0.117 0.624 0.117
B1 B 0.066 0.926 0.118
# Energy of formation from the pure elements   -0.426 eV per atom
# Mass density   8.72 g/cm3



# PBE-GGA CeEuAs2, optimized geometry
data_CeEuAs2
_cell_length_a 4.2722
_cell_length_b 4.2722
_cell_length_c 20.8762
_cell_angle_alpha 90.00
_cell_angle_beta 90.00
_cell_angle_gamma 120.00
_symmetry_space_group_name_H-M 'R -3 m'
_symmetry_Int_Tables_number 166
_symmetry_space_group_name_Hall '-R 3 2"'
loop_
_atom_site_label
_atom_site_type_symbol
_atom_site_fract_x
_atom_site_fract_y
_atom_site_fract_z
Ce1 Ce 0.0000 0.0000 0.0000
Eu1 Eu 0.0000 0.0000 0.5000
As1 As 0.0000 0.0000 0.2555
# Energy of formation from the pure elements   -1.345 eV per atom
# Mass density   6.67 g/cm3



# PBE-GGA MnAgSeN2, optimized geometry
data_MnAgSeN2
_cell_length_a 3.636
_cell_length_b 3.636
_cell_length_c 5.440
_cell_angle_alpha 90.00
_cell_angle_beta 90.00
_cell_angle_gamma 90.00
_symmetry_space_group_name_H-M 'P 4/m m m'
_symmetry_Int_Tables_number 123
_symmetry_space_group_name_Hall '-P 4 2'
loop_
_atom_site_label
_atom_site_type_symbol
_atom_site_fract_x
_atom_site_fract_y
_atom_site_fract_z
Mn1 Mn 0.000 0.000 0.000
Ag1 Ag 0.500 0.500 0.500
Se1 Se 0.000 0.000 0.500
N1 N 0.000 0.500 0.000
# Mass density   6.23 g/cm3
# Energy relative to the elements, uncorrected   56.3 kJ/mol of atoms
# Excess energy over the best structure of this formula in the dataset   0.000 eV/atom



# PBE-GGA CsHgTe2, optimized geometry
data_CsHgTe2
_cell_length_a 8.095
_cell_length_b 11.169
_cell_length_c 8.770
_cell_angle_alpha 90.00
_cell_angle_beta 100.97
_cell_angle_gamma 90.00
_symmetry_space_group_name_H-M 'C 1 2/c 1'
_symmetry_Int_Tables_number 15
loop_
_symmetry_equiv_pos_as_xyz
'x,y,z'
'-x,-y,-z'
'-x,y,-z+1/2'
'x,-y,z+1/2'
'x+1/2,y+1/2,z'
'-x+1/2,-y+1/2,-z'
'-x+1/2,y+1/2,-z+1/2'
'x+1/2,-y+1/2,z+1/2'
loop_
_atom_site_label
_atom_site_type_symbol
_atom_site_fract_x
_atom_site_fract_y
_atom_site_fract_z
Cs1 Cs 0.000 0.099 0.250
Hg1 Hg 0.000 0.493 0.250
Te1 Te 0.155 0.367 0.019
# Mass density   5.02 g/cm3
# Energy relative to the elements, uncorrected   -48.5 kJ/mol of atoms



# PBE-GGA Dy3YMg4, optimized geometry
data_Dy3YMg4
_cell_length_a 3.791
_cell_length_b 3.791
_cell_length_c 15.168
_cell_angle_alpha 90.00
_cell_angle_beta 90.00
_cell_angle_gamma 90.00
_symmetry_space_group_name_H-M 'P 4/m m m'
_symmetry_Int_Tables_number 123
_symmetry_space_group_name_Hall '-P 4 2'
loop_
_atom_site_label
_atom_site_type_symbol
_atom_site_fract_x
_atom_site_fract_y
_atom_site_fract_z
Dy1 Dy 0.000 0.000 0.000
Dy2 Dy 0.000 0.000 0.249
Y1 Y 0.000 0.000 0.500
Mg1 Mg 0.500 0.500 0.125
Mg2 Mg 0.500 0.500 0.374
# Energy of formation from the pure elements   -0.088 eV per atom
# Mass density   5.13 g/cm3



# PBE-GGA Li2FeNi, optimized geometry
data_Li2FeNi
_cell_length_a 2.627
_cell_length_b 4.121
_cell_length_c 8.705
_cell_angle_alpha 90.00
_cell_angle_beta 90.00
_cell_angle_gamma 90.00
_symmetry_space_group_name_H-M 'C m m m'
_symmetry_Int_Tables_number 65
_symmetry_space_group_name_Hall '-C 2 2'
loop_
_atom_site_label
_atom_site_type_symbol
_atom_site_fract_x
_atom_site_fract_y
_atom_site_fract_z
Li1 Li 0.000 0.000 0.241
Fe1 Fe 0.000 0.500 0.500
Ni1 Ni 0.000 0.500 0.000
# Energy of formation from the pure elements   0.110 eV per atom
# Mass density   4.53 g/cm3



# PBE-GGA Hf6Zr2Re, optimized geometry
data_Hf6Zr2Re
_cell_length_a 15.300
_cell_length_b 8.440
_cell_length_c 3.056
_cell_angle_alpha 90.00
_cell_angle_beta 90.45
_cell_angle_gamma 90.00
_symmetry_space_group_name_H-M 'C 1 2/m 1'
_symmetry_Int_Tables_number 12
loop_
_symmetry_equiv_pos_as_xyz
'x,y,z'
'-x,-y,-z'
'-x,y,-z'
'x,-y,z'
'x+1/2,y+1/2,z'
'-x+1/2,-y+1/2,-z'
'-x+1/2,y+1/2,-z'
'x+1/2,-y+1/2,z'
loop_
_atom_site_label
_atom_site_type_symbol
_atom_site_fract_x
_atom_site_fract_y
_atom_site_fract_z
Hf1 Hf 0.000 0.202 0.000
Hf2 Hf 0.161 0.325 0.501
Zr1 Zr 0.174 0.000 0.996
Re1 Re 0.000 0.500 0.500
# Energy of formation from the pure elements   0.163 eV per atom
# Mass density   12.11 g/cm3